1.
Compound: Cd15Hg2Au2
Source: Alexandria
Functional: PBE
Structure: relaxed

Values from the calculation:
DFT total energy: -20.883 eV per cell
calculated formation energy: 0.0001 eV/atom
space-group type: P-1

Cell: 6.724 7.669 9.013 Å, 88.76 89.67 76.18°
Sites, in units of the cell vectors:
Cd: 0.000 0.000 0.000
Cd: 0.000 0.500 0.500
Cd: 0.143 0.138 0.713
Cd: 0.184 0.636 0.788
Cd: 0.246 0.651 0.112
Cd: 0.321 0.698 0.443
Cd: 0.377 0.335 0.306
Cd: 0.401 0.974 0.171
Cd: 0.500 0.000 0.500
Cd: 0.599 0.026 0.829
Cd: 0.623 0.665 0.694
Cd: 0.679 0.302 0.557
Cd: 0.754 0.349 0.888
Cd: 0.816 0.364 0.212
Cd: 0.857 0.862 0.287
Hg: 0.280 0.305 0.975
Hg: 0.720 0.695 0.025
Au: 0.081 0.121 0.399
Au: 0.919 0.879 0.601



2.
Compound: Cd3HgAu2
Source: Alexandria
Functional: PBE
Structure: relaxed

Values from the calculation:
DFT total energy: -20.110 eV per cell
calculated formation energy: -0.0755 eV/atom
space-group type: Ibam
polymorph energy (0 for the lowest one): 0.0 kJ per mole of atoms

Cell: 8.216 8.216 8.216 Å, 129.23 70.50 134.54°
Sites, in units of the cell vectors:
Cd: 0.022 0.750 0.272
Cd: 0.250 0.250 0.000
Cd: 0.478 0.750 0.728
Cd: 0.522 0.250 0.272
Cd: 0.750 0.750 0.000
Cd: 0.978 0.250 0.728
Hg: 0.000 0.500 0.500
Hg: 0.500 0.000 0.500
Au: 0.138 0.209 0.347
Au: 0.362 0.709 0.071
Au: 0.638 0.291 0.929
Au: 0.862 0.791 0.653



3.
Compound: Cd12Hg3Au
Source: Alexandria
Functional: PBE
Structure: relaxed

Values from the calculation:
DFT total energy: -15.323 eV per cell
calculated formation energy: -0.0099 eV/atom
space-group type: P2/m

Cell: 4.495 4.401 18.251 Å, 90.00 93.53 90.00°
Sites, in units of the cell vectors:
Cd: 0.000 0.000 0.000
Cd: 0.000 0.000 0.500
Cd: 0.000 0.500 0.128
Cd: 0.000 0.500 0.872
Cd: 0.012 0.000 0.743
Cd: 0.019 0.500 0.616
Cd: 0.479 0.000 0.385
Cd: 0.500 0.000 0.128
Cd: 0.500 0.000 0.872
Cd: 0.521 0.000 0.615
Cd: 0.981 0.500 0.384
Cd: 0.988 0.000 0.257
Hg: 0.489 0.500 0.256
Hg: 0.500 0.500 0.000
Hg: 0.511 0.500 0.744
Au: 0.500 0.500 0.500



4.
Compound: Cd2Hg2Au
Source: Alexandria
Functional: PBE
Structure: relaxed

Values from the calculation:
DFT total energy: -11.027 eV per cell
calculated formation energy: 0.0395 eV/atom
space-group type: P4/mbm
polymorph energy (0 for the lowest one): 0.0 kJ per mole of atoms

Cell: 7.368 7.368 4.490 Å, 90.00 90.00 90.00°
Sites, in units of the cell vectors:
Cd: 0.144 0.356 0.000
Cd: 0.356 0.856 0.000
Cd: 0.644 0.144 0.000
Cd: 0.856 0.644 0.000
Hg: 0.166 0.666 0.500
Hg: 0.334 0.166 0.500
Hg: 0.666 0.834 0.500
Hg: 0.834 0.334 0.500
Au: 0.000 0.000 0.000
Au: 0.500 0.500 0.000



5.
Compound: CdHgAu
Source: Alexandria
Functional: PBE
Structure: relaxed

Values from the calculation:
DFT total energy: -4.424 eV per cell
calculated formation energy: 0.0233 eV/atom
space-group type: P3m1
polymorph energy (0 for the lowest one): 7.9 kJ per mole of atoms

Cell: 4.856 4.856 3.114 Å, 90.00 90.00 120.00°
Sites, in units of the cell vectors:
Cd: 0.000 0.000 0.000
Hg: 0.333 0.667 0.500
Au: 0.667 0.333 0.494



6.
Compound: Cd2HgAu2
Source: Alexandria
Functional: PBE
Structure: relaxed

Values from the calculation:
DFT total energy: -18.111 eV per cell
calculated formation energy: -0.0737 eV/atom
space-group type: P4/mbm
polymorph energy (0 for the lowest one): 3.3 kJ per mole of atoms

Cell: 8.492 8.492 3.010 Å, 90.00 90.00 90.00°
Sites, in units of the cell vectors:
Cd: 0.174 0.326 0.000
Cd: 0.326 0.826 0.000
Cd: 0.674 0.174 0.000
Cd: 0.826 0.674 0.000
Hg: 0.000 0.000 0.000
Hg: 0.500 0.500 0.000
Au: 0.123 0.623 0.500
Au: 0.377 0.123 0.500
Au: 0.623 0.877 0.500
Au: 0.877 0.377 0.500



7.
Compound: CdHgAu
Source: Alexandria
Functional: PBE
Structure: relaxed

Values from the calculation:
DFT total energy: -9.172 eV per cell
calculated formation energy: -0.0306 eV/atom
space-group type: I4mm
polymorph energy (0 for the lowest one): 2.7 kJ per mole of atoms

Cell: 3.723 3.723 9.097 Å, 90.00 90.00 90.00°
Sites, in units of the cell vectors:
Cd: 0.000 0.000 0.000
Cd: 0.500 0.500 0.500
Hg: 0.000 0.000 0.673
Hg: 0.500 0.500 0.173
Au: 0.000 0.000 0.343
Au: 0.500 0.500 0.843



8.
Compound: Cd7Hg2Au
Source: Alexandria
Functional: PBE
Structure: relaxed

Values from the calculation:
DFT total energy: -20.843 eV per cell
calculated formation energy: -0.0135 eV/atom
space-group type: C2/c

Cell: 8.943 8.943 9.342 Å, 121.43 121.43 51.97°
Sites, in units of the cell vectors:
Cd: 0.098 0.625 0.193
Cd: 0.107 0.893 0.750
Cd: 0.181 0.430 0.465
Cd: 0.252 0.589 0.921
Cd: 0.375 0.902 0.307
Cd: 0.411 0.748 0.579
Cd: 0.430 0.181 0.965
Cd: 0.570 0.819 0.035
Cd: 0.589 0.252 0.421
Cd: 0.625 0.098 0.693
Cd: 0.748 0.411 0.079
Cd: 0.819 0.570 0.535
Cd: 0.893 0.107 0.250
Cd: 0.902 0.375 0.807
Hg: 0.177 0.178 0.102
Hg: 0.178 0.177 0.602
Hg: 0.822 0.823 0.398
Hg: 0.823 0.822 0.898
Au: 0.494 0.506 0.750
Au: 0.506 0.494 0.250



9.
Compound: CdHgAu
Source: Alexandria
Functional: PBE
Structure: relaxed

Values from the calculation:
DFT total energy: -18.447 eV per cell
calculated formation energy: -0.0392 eV/atom
space-group type: Cm
polymorph energy (0 for the lowest one): 1.9 kJ per mole of atoms

Cell: 9.453 3.590 8.991 Å, 90.00 117.51 90.00°
Sites, in units of the cell vectors:
Cd: 0.000 0.000 0.000
Cd: 0.041 0.000 0.421
Cd: 0.500 0.500 0.000
Cd: 0.541 0.500 0.421
Hg: 0.148 0.500 0.806
Hg: 0.352 0.500 0.628
Hg: 0.648 0.000 0.806
Hg: 0.852 0.000 0.628
Au: 0.193 0.500 0.274
Au: 0.343 0.000 0.133
Au: 0.693 0.000 0.274
Au: 0.843 0.500 0.133



10.
Compound: Cd12Hg7Au
Source: Alexandria
Functional: PBE
Structure: relaxed

Values from the calculation:
DFT total energy: -16.050 eV per cell
calculated formation energy: 0.0161 eV/atom
space-group type: R-3m

Cell: 7.822 7.822 7.822 Å, 94.43 94.43 94.43°
Sites, in units of the cell vectors:
Cd: 0.000 0.260 0.740
Cd: 0.000 0.740 0.260
Cd: 0.155 0.607 0.607
Cd: 0.260 0.000 0.740
Cd: 0.260 0.740 0.000
Cd: 0.393 0.393 0.845
Cd: 0.393 0.845 0.393
Cd: 0.607 0.155 0.607
Cd: 0.607 0.607 0.155
Cd: 0.740 0.000 0.260
Cd: 0.740 0.260 0.000
Cd: 0.845 0.393 0.393
Hg: 0.147 0.147 0.411
Hg: 0.147 0.411 0.147
Hg: 0.411 0.147 0.147
Hg: 0.500 0.500 0.500
Hg: 0.589 0.853 0.853
Hg: 0.853 0.589 0.853
Hg: 0.853 0.853 0.589
Au: 0.000 0.000 0.000



11.
Compound: Cd11Hg17Au
Source: Alexandria
Functional: PBE
Structure: relaxed

Values from the calculation:
DFT total energy: -17.741 eV per cell
calculated formation energy: 0.0253 eV/atom
space-group type: Cm

Cell: 10.031 10.031 9.366 Å, 112.68 112.68 101.97°
Sites, in units of the cell vectors:
Cd: 0.000 0.000 0.000
Cd: 0.035 0.379 0.701
Cd: 0.041 0.844 0.586
Cd: 0.166 0.372 0.207
Cd: 0.211 0.611 0.094
Cd: 0.372 0.166 0.207
Cd: 0.379 0.035 0.701
Cd: 0.416 0.614 0.904
Cd: 0.611 0.211 0.094
Cd: 0.614 0.416 0.904
Cd: 0.844 0.041 0.586
Hg: 0.203 0.805 0.905
Hg: 0.218 0.218 0.887
Hg: 0.221 0.948 0.309
Hg: 0.254 0.654 0.571
Hg: 0.279 0.279 0.584
Hg: 0.492 0.841 0.468
Hg: 0.498 0.498 0.518
Hg: 0.570 0.570 0.222
Hg: 0.581 0.962 0.216
Hg: 0.629 0.861 0.873
Hg: 0.654 0.254 0.571
Hg: 0.805 0.203 0.905
Hg: 0.841 0.492 0.468
Hg: 0.861 0.629 0.873
Hg: 0.877 0.877 0.249
Hg: 0.948 0.221 0.309
Hg: 0.962 0.581 0.216
Au: 0.771 0.771 0.628



12.
Compound: Cd10Hg4Au
Source: Alexandria
Functional: PBE
Structure: relaxed

Values from the calculation:
DFT total energy: -13.645 eV per cell
calculated formation energy: -0.0006 eV/atom
space-group type: I4/m

Cell: 8.131 8.131 8.131 Å, 101.65 101.65 126.60°
Sites, in units of the cell vectors:
Cd: 0.025 0.112 0.693
Cd: 0.112 0.419 0.087
Cd: 0.250 0.750 0.500
Cd: 0.332 0.025 0.913
Cd: 0.419 0.332 0.307
Cd: 0.581 0.668 0.693
Cd: 0.668 0.975 0.087
Cd: 0.750 0.250 0.500
Cd: 0.888 0.581 0.913
Cd: 0.975 0.888 0.307
Hg: 0.214 0.578 0.792
Hg: 0.422 0.214 0.635
Hg: 0.578 0.786 0.365
Hg: 0.786 0.422 0.208
Au: 0.000 0.000 0.000



13.
Compound: Cd3HgAu12
Source: Alexandria
Functional: PBE
Structure: relaxed

Values from the calculation:
DFT total energy: -43.540 eV per cell
calculated formation energy: -0.0728 eV/atom
space-group type: P4/mmm

Cell: 4.197 4.197 16.986 Å, 90.00 90.00 90.00°
Sites, in units of the cell vectors:
Cd: 0.000 0.000 0.000
Cd: 0.000 0.000 0.249
Cd: 0.000 0.000 0.751
Hg: 0.000 0.000 0.500
Au: 0.000 0.500 0.124
Au: 0.000 0.500 0.372
Au: 0.000 0.500 0.628
Au: 0.000 0.500 0.876
Au: 0.500 0.000 0.124
Au: 0.500 0.000 0.372
Au: 0.500 0.000 0.628
Au: 0.500 0.000 0.876
Au: 0.500 0.500 0.000
Au: 0.500 0.500 0.249
Au: 0.500 0.500 0.500
Au: 0.500 0.500 0.751



14.
Compound: Cd5HgAu2
Source: Alexandria
Functional: PBE
Structure: relaxed

Values from the calculation:
DFT total energy: -11.814 eV per cell
calculated formation energy: -0.0477 eV/atom
space-group type: P1

Cell: 6.054 6.054 6.081 Å, 98.46 113.53 116.81°
Sites, in units of the cell vectors:
Cd: 0.000 0.000 0.000
Cd: 0.004 0.545 0.552
Cd: 0.493 0.496 0.999
Cd: 0.500 0.042 0.549
Cd: 0.966 0.018 0.489
Hg: 0.472 0.519 0.495
Au: 0.014 0.523 0.046
Au: 0.525 0.023 0.050



15.
Compound: CdHgAu14
Source: Alexandria
Functional: PBE
Structure: relaxed

Values from the calculation:
DFT total energy: -47.133 eV per cell
calculated formation energy: -0.0021 eV/atom
space-group type: Amm2

Cell: 9.620 5.946 5.946 Å, 60.30 90.00 90.00°
Sites, in units of the cell vectors:
Cd: 0.000 0.000 0.000
Hg: 0.000 0.500 0.500
Au: 0.000 0.499 0.999
Au: 0.000 0.999 0.499
Au: 0.250 0.833 0.833
Au: 0.252 0.332 0.332
Au: 0.253 0.332 0.834
Au: 0.253 0.834 0.332
Au: 0.500 0.166 0.166
Au: 0.500 0.166 0.667
Au: 0.500 0.667 0.166
Au: 0.500 0.667 0.667
Au: 0.747 0.332 0.834
Au: 0.747 0.834 0.332
Au: 0.748 0.332 0.332
Au: 0.750 0.833 0.833



16.
Compound: Cd9Hg2Au
Source: Alexandria
Functional: PBE
Structure: relaxed

Values from the calculation:
DFT total energy: -11.944 eV per cell
calculated formation energy: 0.0144 eV/atom
space-group type: P-1

Cell: 6.495 7.175 7.648 Å, 66.13 65.39 70.98°
Sites, in units of the cell vectors:
Cd: 0.000 0.000 0.000
Cd: 0.034 0.782 0.643
Cd: 0.170 0.612 0.293
Cd: 0.307 0.148 0.582
Cd: 0.389 0.683 0.843
Cd: 0.611 0.317 0.157
Cd: 0.693 0.852 0.418
Cd: 0.830 0.388 0.707
Cd: 0.966 0.218 0.357
Hg: 0.338 0.230 0.951
Hg: 0.662 0.770 0.049
Au: 0.500 0.500 0.500



17.
Compound: Cd7HgAu5
Source: Alexandria
Functional: PBE
Structure: relaxed

Values from the calculation:
DFT total energy: -24.467 eV per cell
calculated formation energy: -0.1056 eV/atom
space-group type: Imm2

Cell: 7.566 7.566 7.566 Å, 135.79 98.39 97.90°
Sites, in units of the cell vectors:
Cd: 0.000 0.000 0.000
Cd: 0.325 0.645 0.680
Cd: 0.329 0.329 0.000
Cd: 0.469 0.136 0.333
Cd: 0.803 0.136 0.667
Cd: 0.890 0.390 0.500
Cd: 0.966 0.645 0.320
Hg: 0.658 0.658 0.000
Au: 0.140 0.144 0.496
Au: 0.140 0.644 0.996
Au: 0.378 0.878 0.500
Au: 0.648 0.144 0.004
Au: 0.648 0.644 0.504



18.
Compound: Cd7HgAu2
Source: Alexandria
Functional: PBE
Structure: relaxed

Values from the calculation:
DFT total energy: -14.010 eV per cell
calculated formation energy: -0.0748 eV/atom
space-group type: P3m1

Cell: 4.819 4.819 11.546 Å, 90.00 90.00 120.00°
Sites, in units of the cell vectors:
Cd: 0.000 0.000 0.000
Cd: 0.000 0.000 0.256
Cd: 0.000 0.000 0.527
Cd: 0.333 0.667 0.134
Cd: 0.333 0.667 0.703
Cd: 0.667 0.333 0.356
Cd: 0.667 0.333 0.844
Hg: 0.333 0.667 0.439
Au: 0.000 0.000 0.764
Au: 0.667 0.333 0.098



19.
Compound: Cd2Hg2Au
Source: Alexandria
Functional: PBE
Structure: relaxed

Values from the calculation:
DFT total energy: -9.478 eV per cell
calculated formation energy: 0.1944 eV/atom
space-group type: I4/mmm
polymorph energy (0 for the lowest one): 14.9 kJ per mole of atoms

Cell: 4.082 4.082 14.557 Å, 90.00 90.00 90.00°
Sites, in units of the cell vectors:
Cd: 0.000 0.500 0.250
Cd: 0.000 0.500 0.750
Cd: 0.500 0.000 0.250
Cd: 0.500 0.000 0.750
Hg: 0.000 0.000 0.095
Hg: 0.000 0.000 0.905
Hg: 0.500 0.500 0.405
Hg: 0.500 0.500 0.595
Au: 0.000 0.000 0.500
Au: 0.500 0.500 0.000



20.
Compound: Cd2HgAu2
Source: Alexandria
Functional: PBE
Structure: relaxed

Values from the calculation:
DFT total energy: -17.380 eV per cell
calculated formation energy: -0.0007 eV/atom
space-group type: I4/mmm
polymorph energy (0 for the lowest one): 10.3 kJ per mole of atoms

Cell: 4.167 4.167 13.210 Å, 90.00 90.00 90.00°
Sites, in units of the cell vectors:
Cd: 0.000 0.500 0.250
Cd: 0.000 0.500 0.750
Cd: 0.500 0.000 0.250
Cd: 0.500 0.000 0.750
Hg: 0.000 0.000 0.000
Hg: 0.500 0.500 0.500
Au: 0.000 0.000 0.398
Au: 0.000 0.000 0.602
Au: 0.500 0.500 0.102
Au: 0.500 0.500 0.898